(1)
Material: SrSiMo
Method: DFT, GGA-PBE
State: optimized geometry

uncorrected energy: -0.3233 Ry per atom

Structure (extended XYZ):
```
3
Lattice="0.000 3.524 3.524 3.524 0.000 3.524 3.524 3.524 0.000" Properties=species:S:1:pos:R:3 pbc="T T T"
Sr 0.000 0.000 0.000
Si 1.762 1.762 1.762
Mo 5.286 5.286 5.286
```


(2)
Material: ErTm2Co9
Method: DFT, GGA-PBE
State: optimized geometry

uncorrected energy: -0.4903 Ry per atom

Structure (extended XYZ):
```
12
Lattice="2.462 1.422 8.017 -2.462 1.422 8.017 0.000 -2.843 8.017" Properties=species:S:1:pos:R:3 pbc="T T T"
Er 0.000 0.000 0.000
Tm 0.000 0.000 3.365
Tm 0.000 0.000 20.688
Co -1.246 -0.719 9.987
Co 0.000 0.000 8.059
Co 0.000 -1.438 14.066
Co -1.246 0.719 14.066
Co 0.000 0.000 12.026
Co 1.246 -0.719 9.987
Co 0.000 1.438 9.987
Co 0.000 0.000 15.993
Co 1.246 0.719 14.066
```


(3)
Material: ZrFeSiIr
Method: DFT, GGA-PBE
State: optimized geometry

polymorph energy (0 for the lowest one): 0 meV per atom

Structure (extended XYZ):
```
4
Lattice="0.000 3.085 3.085 3.085 0.000 3.085 3.085 3.085 0.000" Properties=species:S:1:pos:R:3 pbc="T T T"
Zr 0.000 0.000 0.000
Fe 4.628 4.628 4.628
Si 3.085 3.085 3.085
Ir 1.543 1.543 1.543
```


(4)
Material: NbCoSiNi
Method: DFT, GGA-PBE
State: optimized geometry

polymorph energy (0 for the lowest one): 96 meV per atom

Structure (extended XYZ):
```
4
Lattice="0.000 2.939 2.939 2.939 0.000 2.939 2.939 2.939 0.000" Properties=species:S:1:pos:R:3 pbc="T T T"
Nb 0.000 0.000 0.000
Co 2.939 2.939 2.939
Si 1.470 1.470 1.470
Ni 4.409 4.409 4.409
```


(5)
Material: CsLaHf
Method: DFT, GGA-PBE
State: optimized geometry

polymorph energy (0 for the lowest one): 0 meV per atom

Structure (extended XYZ):
```
3
Lattice="0.000 4.070 4.070 4.070 0.000 4.070 4.070 4.070 0.000" Properties=species:S:1:pos:R:3 pbc="T T T"
Cs 0.000 0.000 0.000
La 4.070 4.070 4.070
Hf 2.035 2.035 2.035
```


(6)
Material: AgAu
Method: DFT, GGA-PBE
State: optimized geometry

uncorrected energy: -0.2267 Ry per atom

Structure (extended XYZ):
```
2
Lattice="2.912 0.000 0.000 -1.456 2.522 0.000 0.000 0.000 4.814" Properties=species:S:1:pos:R:3 pbc="T T T"
Ag 0.000 0.000 0.000
Au 1.456 0.841 2.407
```